Model A:
## DyTlPb (PBE-GGA)

Data for a relaxed structure of DyTlPb.

Cell lengths 5.1474, 5.1474, 5.1474 Å; angles 60.00, 60.00, 60.00 degrees
Positions (direct):
1 Dy 0.2500 0.2500 0.2500
2 Pb 0.7500 0.7500 0.7500
3 Tl 0.0000 0.0000 0.0000

Computed properties:
SG: No. 216
Total moment: 0.01 μB per cell


Model B:
## DyTlPb (PBE-GGA)

Data for a relaxed structure of DyTlPb.

Cell lengths 5.1531, 5.1531, 5.1531 Å; angles 60.00, 60.00, 60.00 degrees
Positions (direct):
1 Dy 0.0000 0.0000 0.0000
2 Pb 0.2500 0.2500 0.2500
3 Tl 0.7500 0.7500 0.7500

Computed properties:
SG: No. 216
Total moment: 0.00 μB per cell


Here are the energies relative to the best structure, in meV per atom: model A 118; model B 0.


Model A:
## DyRePd (PBE-GGA)

Data for a relaxed structure of DyRePd.

Cell lengths 4.5269, 4.5269, 4.5269 Å; angles 60.00, 60.00, 60.00 degrees
Positions (direct):
1 Dy 0.5000 0.5000 0.5000
2 Pd 0.2500 0.2500 0.2500
3 Re 0.0000 0.0000 0.0000

Computed properties:
SG: No. 216
Total moment: 2.06 μB per cell


Model B:
## DyRePd (PBE-GGA)

Data for a relaxed structure of DyRePd.

Cell lengths 4.5692, 4.5692, 4.5692 Å; angles 60.00, 60.00, 60.00 degrees
Positions (direct):
1 Dy 0.0000 0.0000 0.0000
2 Pd 0.2500 0.2500 0.2500
3 Re 0.7500 0.7500 0.7500

Computed properties:
SG: No. 216
Total moment: 2.51 μB per cell


Here are the energies relative to the best structure, in meV per atom: model A 0; model B 538.